Record 1
A plane-wave DFT calculation with PBE-GGA was carried out for a relaxed structure of CeY2Ho5.

The space group is Pbam (55).

Lattice parameters (Å, degrees): 7.0768 14.1596 5.0028 90.00 90.00 90.00
Element x y z (fractional)
Ce 0.0000 0.0000 0.0000
Ce 0.5000 0.5000 0.0000
Y 0.2470 0.1241 0.5000
Y 0.2530 0.6241 0.5000
Y 0.7470 0.3759 0.5000
Y 0.7530 0.8759 0.5000
Ho 0.0000 0.5000 0.0000
Ho 0.0009 0.2502 0.0000
Ho 0.2459 0.8759 0.5000
Ho 0.2541 0.3759 0.5000
Ho 0.4991 0.7502 0.0000
Ho 0.5000 0.0000 0.0000
Ho 0.5009 0.2498 0.0000
Ho 0.7459 0.6241 0.5000
Ho 0.7541 0.1241 0.5000
Ho 0.9991 0.7498 0.0000

---

Record 2
A plane-wave DFT calculation with PBE-GGA was carried out for a relaxed structure of CeY3Ho4.

As for the polymorph energy (0 for the lowest one): 0 meV per atom. The space group is C2/m (12).

Lattice parameters (Å, degrees): 11.8231 11.8231 6.7139 106.49 106.49 16.63
Element x y z (fractional)
Ce 0.0000 0.0000 0.0000
Y 0.3741 0.3741 0.6315
Y 0.5000 0.5000 0.5000
Y 0.6259 0.6259 0.3685
Ho 0.2409 0.2409 0.2361
Ho 0.3753 0.3753 0.1172
Ho 0.6247 0.6247 0.8828
Ho 0.7591 0.7591 0.7639

---

Record 3
A plane-wave DFT calculation with PBE-GGA was carried out for a relaxed structure of CeYHo6.

As for the polymorph energy (0 for the lowest one): 180 meV per atom. The space group is P-1 (2).

Lattice parameters (Å, degrees): 6.4721 6.7224 6.8354 118.45 102.50 90.98
Element x y z (fractional)
Ce 0.0000 0.0000 0.0000
Y 0.5000 0.0000 0.0000
Ho 0.2281 0.9033 0.4759
Ho 0.2493 0.4514 0.0001
Ho 0.2661 0.4266 0.5193
Ho 0.7339 0.5734 0.4807
Ho 0.7507 0.5486 0.9999
Ho 0.7719 0.0967 0.5241

---

| no. | ΔH_f (0 K) (meV/atom) | magnetization (μB/f.u.) | V (Å³/cell) |
| --- | --- | --- | --- |
| 1 | 45 | 1.02 | 501.30 |
| 2 | 197 | 1.00 | 257.27 |
| 3 | 225 | 1.66 | 252.77 |